Entry from the Alexandria database: a PBEsol-optimized structure of HgMoCl (SCAN).

Values from the calculation:
As for the uncorrected formation energy: 0.976 eV/atom. As for the space-group type: F-43m, No. 216. For the final energy, the calculation gives -36.033 eV/atom. The total magnetization comes out at 5.0 μB/f.u.

Geometry as CIF:
```
data_HgMoCl
_space_group_name_H-M_alt 'P 1'
_space_group_IT_number 1
_space_group_name_Hall 'P 1'
_cell_length_a 4.7969
_cell_length_b 4.7969
_cell_length_c 4.7969
_cell_angle_alpha 60.00
_cell_angle_beta 60.00
_cell_angle_gamma 60.00
loop_
_atom_site_label
_atom_site_fract_x
_atom_site_fract_y
_atom_site_fract_z
Hg1 0.0000 0.0000 0.0000
Mo1 0.2500 0.2500 0.2500
Cl1 0.7500 0.7500 0.7500
```

***

Entry from the Alexandria database: a PBEsol-optimized structure of HgMo2Cl (SCAN).

Values from the calculation:
The energy above the most stable polymorph in this dataset is 0.0 meV/atom. As for the uncorrected formation energy: 0.701 eV/atom. As for the space-group type: Cmmm, No. 65. For the final energy, the calculation gives -35.778 eV/atom. The total magnetization comes out at 0.0 μB/f.u.

Geometry as CIF:
```
data_HgMo2Cl
_space_group_name_H-M_alt 'P 1'
_space_group_IT_number 1
_space_group_name_Hall 'P 1'
_cell_length_a 2.9326
_cell_length_b 2.9326
_cell_length_c 9.2121
_cell_angle_alpha 90.00
_cell_angle_beta 90.00
_cell_angle_gamma 122.36
loop_
_atom_site_label
_atom_site_fract_x
_atom_site_fract_y
_atom_site_fract_z
Hg1 0.0000 0.0000 0.0000
Mo1 0.5000 0.5000 0.2701
Mo2 0.5000 0.5000 0.7299
Cl1 0.0000 0.0000 0.5000
```

***

Entry from the Alexandria database: a PBEsol-optimized structure of HgMoCl2 (SCAN).

Values from the calculation:
As for the uncorrected formation energy: -0.102 eV/atom. As for the space-group type: Imm2, No. 44. For the final energy, the calculation gives -29.853 eV/atom. The total magnetization comes out at 4.0 μB/f.u.

Geometry as CIF:
```
data_HgMoCl2
_space_group_name_H-M_alt 'P 1'
_space_group_IT_number 1
_space_group_name_Hall 'P 1'
_cell_length_a 5.6807
_cell_length_b 5.6807
_cell_length_c 5.6807
_cell_angle_alpha 144.50
_cell_angle_beta 113.49
_cell_angle_gamma 77.72
loop_
_atom_site_label
_atom_site_fract_x
_atom_site_fract_y
_atom_site_fract_z
Hg1 0.0000 0.0000 0.0000
Mo1 0.2495 0.7495 0.5000
Cl1 0.4369 0.4369 0.0000
Cl2 0.7668 0.2668 0.5000
```

***

Entry from the Alexandria database: a PBEsol-optimized structure of HgMo2Cl (SCAN).

Values from the calculation:
The energy above the most stable polymorph in this dataset is 356.3 meV/atom. As for the uncorrected formation energy: 1.057 eV/atom. As for the space-group type: F-43m, No. 216. For the final energy, the calculation gives -35.421 eV/atom. The total magnetization comes out at 0.0 μB/f.u.

Geometry as CIF:
```
data_HgMo2Cl
_space_group_name_H-M_alt 'P 1'
_space_group_IT_number 1
_space_group_name_Hall 'P 1'
_cell_length_a 4.5772
_cell_length_b 4.5772
_cell_length_c 4.5772
_cell_angle_alpha 60.00
_cell_angle_beta 60.00
_cell_angle_gamma 60.00
loop_
_atom_site_label
_atom_site_fract_x
_atom_site_fract_y
_atom_site_fract_z
Hg1 0.0000 0.0000 0.0000
Mo1 0.2500 0.2500 0.2500
Mo2 0.5000 0.5000 0.5000
Cl1 0.7500 0.7500 0.7500
```

***

Entry from the Alexandria database: a PBEsol-optimized structure of HgMo2Cl (SCAN).

Values from the calculation:
The energy above the most stable polymorph in this dataset is 504.7 meV/atom. As for the uncorrected formation energy: 1.206 eV/atom. As for the space-group type: P4/mmm, No. 123. For the final energy, the calculation gives -35.273 eV/atom. The total magnetization comes out at 0.0 μB/f.u.

Geometry as CIF:
```
data_HgMo2Cl
_space_group_name_H-M_alt 'P 1'
_space_group_IT_number 1
_space_group_name_Hall 'P 1'
_cell_length_a 3.8874
_cell_length_b 3.8874
_cell_length_c 4.5629
_cell_angle_alpha 90.00
_cell_angle_beta 90.00
_cell_angle_gamma 90.00
loop_
_atom_site_label
_atom_site_fract_x
_atom_site_fract_y
_atom_site_fract_z
Hg1 0.0000 0.0000 0.0000
Mo1 0.0000 0.5000 0.5000
Mo2 0.5000 0.0000 0.5000
Cl1 0.5000 0.5000 0.0000
```

***

Entry from the Alexandria database: a PBEsol-optimized structure of SiHgMoCl2 (SCAN).

Values from the calculation:
As for the uncorrected formation energy: 0.406 eV/atom. As for the space-group type: P4/mmm, No. 123. For the final energy, the calculation gives -25.398 eV/atom. The total magnetization comes out at 4.5 μB/f.u.

Geometry as CIF:
```
data_SiHgMoCl2
_space_group_name_H-M_alt 'P 1'
_space_group_IT_number 1
_space_group_name_Hall 'P 1'
_cell_length_a 4.7534
_cell_length_b 4.7534
_cell_length_c 5.2392
_cell_angle_alpha 90.00
_cell_angle_beta 90.00
_cell_angle_gamma 90.00
loop_
_atom_site_label
_atom_site_fract_x
_atom_site_fract_y
_atom_site_fract_z
Si1 0.0000 0.0000 0.0000
Hg1 0.5000 0.5000 0.5000
Mo1 0.0000 0.0000 0.5000
Cl1 0.0000 0.5000 0.0000
Cl2 0.5000 0.0000 0.0000
```

***

Entry from the Alexandria database: a PBEsol-optimized structure of HgNCl3 (SCAN).

Values from the calculation:
As for the uncorrected formation energy: 0.745 eV/atom. As for the space-group type: P4/mmm, No. 123. For the final energy, the calculation gives -19.533 eV/atom. The total magnetization comes out at 2.6 μB/f.u.

Geometry as CIF:
```
data_HgNCl3
_space_group_name_H-M_alt 'P 1'
_space_group_IT_number 1
_space_group_name_Hall 'P 1'
_cell_length_a 3.9321
_cell_length_b 3.9321
_cell_length_c 7.5743
_cell_angle_alpha 90.00
_cell_angle_beta 90.00
_cell_angle_gamma 90.00
loop_
_atom_site_label
_atom_site_fract_x
_atom_site_fract_y
_atom_site_fract_z
Hg1 0.0000 0.0000 0.0000
N1 0.5000 0.5000 0.5000
Cl1 0.0000 0.0000 0.3116
Cl2 0.0000 0.0000 0.6884
Cl3 0.5000 0.5000 0.0000
```

***

Entry from the Alexandria database: a PBEsol-optimized structure of HgSe2NCl (SCAN).

Values from the calculation:
As for the uncorrected formation energy: 1.298 eV/atom. As for the space-group type: P4/mmm, No. 123. For the final energy, the calculation gives -23.820 eV/atom. The total magnetization comes out at 5.3 μB/f.u.

Geometry as CIF:
```
data_HgSe2NCl
_space_group_name_H-M_alt 'P 1'
_space_group_IT_number 1
_space_group_name_Hall 'P 1'
_cell_length_a 5.4121
_cell_length_b 5.4121
_cell_length_c 4.0891
_cell_angle_alpha 90.00
_cell_angle_beta 90.00
_cell_angle_gamma 90.00
loop_
_atom_site_label
_atom_site_fract_x
_atom_site_fract_y
_atom_site_fract_z
Hg1 0.0000 0.0000 0.0000
Se1 0.0000 0.5000 0.0000
Se2 0.5000 0.0000 0.0000
N1 0.0000 0.0000 0.5000
Cl1 0.5000 0.5000 0.5000
```

***

Entry from the Alexandria database: a PBEsol-optimized structure of TiHgNCl2 (SCAN).

Values from the calculation:
As for the uncorrected formation energy: 0.046 eV/atom. As for the space-group type: P4/mmm, No. 123. For the final energy, the calculation gives -21.843 eV/atom. The total magnetization comes out at 0.0 μB/f.u.

Geometry as CIF:
```
data_TiHgNCl2
_space_group_name_H-M_alt 'P 1'
_space_group_IT_number 1
_space_group_name_Hall 'P 1'
_cell_length_a 5.3776
_cell_length_b 5.3776
_cell_length_c 3.6539
_cell_angle_alpha 90.00
_cell_angle_beta 90.00
_cell_angle_gamma 90.00
loop_
_atom_site_label
_atom_site_fract_x
_atom_site_fract_y
_atom_site_fract_z
Ti1 0.0000 0.0000 0.0000
Hg1 0.5000 0.5000 0.0000
N1 0.0000 0.0000 0.5000
Cl1 0.0000 0.5000 0.5000
Cl2 0.5000 0.0000 0.5000
```

***

Entry from the Alexandria database: a PBEsol-optimized structure of Zr2HgNCl (SCAN).

Values from the calculation:
As for the uncorrected formation energy: 0.577 eV/atom. As for the space-group type: P4/mmm, No. 123. For the final energy, the calculation gives -28.790 eV/atom. The total magnetization comes out at 0.0 μB/f.u.

Geometry as CIF:
```
data_Zr2HgNCl
_space_group_name_H-M_alt 'P 1'
_space_group_IT_number 1
_space_group_name_Hall 'P 1'
_cell_length_a 4.7675
_cell_length_b 4.7675
_cell_length_c 4.0575
_cell_angle_alpha 90.00
_cell_angle_beta 90.00
_cell_angle_gamma 90.00
loop_
_atom_site_label
_atom_site_fract_x
_atom_site_fract_y
_atom_site_fract_z
Zr1 0.0000 0.5000 0.0000
Zr2 0.5000 0.0000 0.0000
Hg1 0.0000 0.0000 0.5000
N1 0.5000 0.5000 0.5000
Cl1 0.5000 0.5000 0.0000
```

***

Entry from the Alexandria database: a PBEsol-optimized structure of NaHgCl2 (SCAN).

Values from the calculation:
As for the uncorrected formation energy: -0.942 eV/atom. As for the space-group type: Fm-3m, No. 225. For the final energy, the calculation gives -23.026 eV/atom. The total magnetization comes out at 0.0 μB/f.u.

Geometry as CIF:
```
data_NaHgCl2
_space_group_name_H-M_alt 'P 1'
_space_group_IT_number 1
_space_group_name_Hall 'P 1'
_cell_length_a 4.9952
_cell_length_b 4.9952
_cell_length_c 4.9952
_cell_angle_alpha 60.00
_cell_angle_beta 60.00
_cell_angle_gamma 60.00
loop_
_atom_site_label
_atom_site_fract_x
_atom_site_fract_y
_atom_site_fract_z
Na1 0.0000 0.0000 0.0000
Hg1 0.5000 0.5000 0.5000
Cl1 0.2500 0.2500 0.2500
Cl2 0.7500 0.7500 0.7500
```

***

Entry from the Alexandria database: a PBEsol-optimized structure of NaHgP2Cl (SCAN).

Values from the calculation:
As for the uncorrected formation energy: 0.836 eV/atom. As for the space-group type: P4/mmm, No. 123. For the final energy, the calculation gives -19.395 eV/atom. The total magnetization comes out at 2.1 μB/f.u.

Geometry as CIF:
```
data_NaHgP2Cl
_space_group_name_H-M_alt 'P 1'
_space_group_IT_number 1
_space_group_name_Hall 'P 1'
_cell_length_a 5.0190
_cell_length_b 5.0190
_cell_length_c 4.7943
_cell_angle_alpha 90.00
_cell_angle_beta 90.00
_cell_angle_gamma 90.00
loop_
_atom_site_label
_atom_site_fract_x
_atom_site_fract_y
_atom_site_fract_z
Na1 0.0000 0.0000 0.0000
Hg1 0.5000 0.5000 0.5000
P1 0.0000 0.5000 0.0000
P2 0.5000 0.0000 0.0000
Cl1 0.0000 0.0000 0.5000
```